Material: SrLa2Y
Method: DFT, GGA-PBE
State: optimized geometry

a = 6.500 Å, b = 6.500 Å, c = 6.721 Å
α = 81.22°, β = 81.22°, γ = 33.50°
Atoms (fractional coordinates):
La1 0.992 0.992 0.025
La2 0.508 0.508 0.475
Sr1 0.750 0.750 0.750
Y1 0.250 0.250 0.250

Values from the calculation:
- relative energy among the computed polymorphs (eV/atom) = 0.030
- total magnetic moment (μB/f.u.) = 0.00